First-principles (GGA+U) data for a relaxed V2WF crystal, as listed in Alexandria via LeMat-Bulk.

extended XYZ file:
```
8
Lattice="-3.298 3.298 3.120 3.298 -3.298 3.120 3.298 3.298 -3.120" Properties=species:S:1:pos:R:3 pbc="T T T"
V 4.946 1.055 -0.780
V 1.055 1.649 0.780
V -1.649 2.243 2.340
V 2.243 1.649 3.900
W 3.298 0.000 1.560
W 0.000 0.000 3.120
F 0.000 0.000 0.000
F 0.000 3.298 1.560
```

Magnetic moment   0.5535 μB/atom
Energy above the most stable polymorph in this dataset   0 meV per atom
Crystal system   tetragonal